1.
BaTbAsO: relaxed, PBE.

a = 4.946 Å, b = 4.946 Å, c = 9.934 Å
α = 90.00°, β = 90.00°, γ = 90.00°
Space group P4/nmm (No. 129, origin choice 2)
Unique sites:
1 Ba 0.250 0.250 0.092
2 Tb 0.250 0.750 0.500
3 As 0.250 0.250 0.637
4 O 0.250 0.750 0.000

## Properties
final energy: -5.55 eV/atom


2.
ReN2: relaxed, PBE.

a = 2.8949 Å, b = 2.8949 Å, c = 7.8288 Å
α = 90.00°, β = 90.00°, γ = 120.00°
Space group P6_3/mmc (No. 194)
Unique sites:
1 Re 0.3333 0.6667 0.2500
2 N 0.0000 0.0000 0.0855

## Properties
final energy: -9.30 eV/atom


3.
Sm3P2: relaxed, PBE.

a = 4.0719 Å, b = 4.0719 Å, c = 9.7310 Å
α = 90.00°, β = 90.00°, γ = 120.00°
Space group P-3m1 (No. 164)
Unique sites:
1 Sm 0.0000 0.0000 0.0000
2 Sm 0.3333 0.6667 0.6685
3 P 0.3333 0.6667 0.1751

## Properties
final energy: -6.23 eV/atom


4.
Zr2Ir: relaxed, PBE.

a = 11.513 Å, b = 11.513 Å, c = 11.513 Å
α = 90.00°, β = 90.00°, γ = 90.00°
Space group Fd-3m (No. 227, origin choice 2)
Unique sites:
1 Zr 0.000 0.000 0.000
2 Ir 0.125 0.125 0.125

## Properties
DFT formation energy: 1.801 eV/atom


5.
Al2Mo4CN: relaxed, PBE.

a = 2.9751 Å, b = 2.9751 Å, c = 13.7878 Å
α = 90.00°, β = 90.00°, γ = 120.00°
Space group P-3m1 (No. 164)
Unique sites:
1 Al 0.3333 0.6667 0.2520
2 Mo 0.3333 0.6667 0.5899
3 Mo 0.3333 0.6667 0.9064
4 C 0.0000 0.0000 0.5000
5 N 0.0000 0.0000 0.0000

## Properties
final energy: -8.71 eV/atom


6.
CsReAuO3: relaxed, PBE.

a = 13.013 Å, b = 3.249 Å, c = 10.704 Å
α = 90.00°, β = 90.00°, γ = 90.00°
Space group Pnma (No. 62)
Unique sites:
1 Cs 0.242 0.250 0.084
2 Re 0.037 0.750 0.373
3 Au 0.024 0.750 0.904
4 O 0.041 0.750 0.694
5 O 0.074 0.250 0.484
6 O 0.158 0.750 0.298

## Properties
final energy: -6.30 eV/atom


| no. | magnetic moment (μB/atom) | theoretical density (Mg/m³) |
| --- | --- | --- |
| 1 | 0.044 | 5.29 |
| 2 | 0.004 | 12.52 |
| 3 | 0.003 | 6.10 |
| 4 | 0.499 | 3.26 |
| 5 | 0.000 | 7.29 |
| 6 | 0.002 | 8.28 |